Record 1
{
  "formula": "GePt2I",
  "functional": "PBE",
  "state": "relaxed",
  "cell": [[0.000, 3.369, 3.369], [3.369, 0.000, 3.369], [3.369, 3.369, 0.000]],
  "species": ["I", "Ge", "Pt", "Pt"],
  "fractional_positions": [[0.500, 0.500, 0.500], [0.000, 0.000, 0.000], [0.250, 0.250, 0.250], [0.750, 0.750, 0.750]],
  "sg": "No. 225"
}

Record 2
{
  "formula": "GePtI2",
  "functional": "PBE",
  "state": "relaxed",
  "cell": [[4.349, 0.000, 0.000], [2.174, 3.766, 0.000], [2.174, 1.255, 8.493]],
  "species": ["I", "I", "Ge", "Pt"],
  "fractional_positions": [[0.098, 0.098, 0.706], [0.902, 0.902, 0.294], [0.500, 0.500, 0.500], [0.000, 0.000, 0.000]],
  "sg": "No. 166"
}

Record 3
{
  "formula": "GePtI2",
  "functional": "PBE",
  "state": "relaxed",
  "cell": [[6.711, 0.000, 0.000], [0.000, 6.711, 0.000], [3.356, 3.356, 6.139]],
  "species": ["I", "I", "I", "I", "Ge", "Ge", "Pt", "Pt"],
  "fractional_positions": [[0.662, 0.125, 0.250], [0.088, 0.625, 0.250], [0.375, 0.338, 0.750], [0.875, 0.912, 0.750], [0.500, 0.500, 0.000], [0.250, 0.750, 0.500], [0.000, 0.000, 0.000], [0.750, 0.250, 0.500]],
  "sg": "No. 122"
}

Result set for E_form (uncorrected): 34; 37; 36 kJ per mole of atoms, one per record in the order listed.